This record from Alexandria describes CrGe2O after structural relaxation. The functional is GGA+U.

a b c (Å): 7.406 7.406 7.406
angles (deg): 142.79 142.79 53.64
Element x y z (fractional)
Cr: 0.000 0.000 0.000
Cr: 0.750 0.250 0.500
Ge: 0.241 0.625 0.116
Ge: 0.375 0.491 0.616
Ge: 0.509 0.125 0.884
Ge: 0.875 0.759 0.384
O: 0.250 0.750 0.500
O: 0.500 0.500 0.000

Summary:
Total moment ... 8.8 Bohr magnetons per cell
Raw total energy ... -5.38 eV/atom